The following is a DFT calculation (PBE) of a relaxed structure of Rb3FeSi.

Cell lengths 6.7657, 6.7657, 6.7657 Å; angles 90.00, 90.00, 90.00 degrees
Fractional coordinates of all 5 atoms:
Rb (0.0000, 0.0000, 0.5000)
Rb (0.0000, 0.5000, 0.0000)
Rb (0.5000, 0.0000, 0.0000)
Fe (0.5000, 0.5000, 0.5000)
Si (0.0000, 0.0000, 0.0000)

Results
The value obtained for the density of states at the Fermi level is 2.88 states/eV per atom. The calculation puts the formation energy without anion corrections at 5.3 eV/f.u. The energy above the lowest structure with this stoichiometry is 0 kJ/mol of formula units. The symmetry is Pm-3m (221).